Computed, not measured: MgBeGe2Te after structural relaxation at the GGA-PBEsol level of DFT.

abc: 4.907 4.907 5.362
angles: 90.00 90.00 90.00
Fractional positions:
Mg 0.000 0.000 0.000
Ge 0.500 0.000 0.000
Ge 0.000 0.500 0.000
Be 0.500 0.500 0.500
Te 0.000 0.000 0.500

## Properties
The energy relative to the elements, uncorrected comes out at 1.067 eV/atom.

---

Computed, not measured: MgBeGeW2 after structural relaxation at the GGA-PBEsol level of DFT.

abc: 3.869 4.655 4.655
angles: 90.00 90.00 90.00
Fractional positions:
Be 0.500 0.000 0.000
Mg 0.000 0.000 0.000
W 0.000 0.000 0.500
W 0.000 0.500 0.000
Ge 0.500 0.500 0.500

---

Number 1: magnetic moment 0.00 μB per formula unit, E -2.76 eV/atom. Number 2: magnetic moment 0.00 μB per formula unit, E -5.40 eV/atom.